A plane-wave DFT calculation with GGA-PBE was carried out for a geometry-optimized NbTl2OsAu structure.

As for the density of states at the Fermi level: 3.97 states/eV/f.u. For the total magnetization, the calculation gives 0.000 μB/cell. For the formation energy, the calculation gives 0.864 eV per atom. Its raw total energy is -4.998 eV per atom.

Cell lengths 5.2510, 5.2510, 4.8438 Å; angles 90.00, 90.00, 90.00 degrees
Last column: nearest neighbours and their distance in Å.
Space group P4/mmm (No. 123)
Asymmetric unit:
Nb (0.0000, 0.0000, 0.0000) (multiplicity 1)  2 Os 2.42
Tl (0.0000, 0.5000, 0.5000) (multiplicity 2)  2 Os 2.63
Os (0.0000, 0.0000, 0.5000) (multiplicity 1)  2 Nb 2.42, 4 Tl 2.63
Au (0.5000, 0.5000, 0.0000) (multiplicity 1)  8 Tl 3.57, 4 Nb 3.71


A plane-wave DFT calculation with GGA-PBE was carried out for a geometry-optimized KCuHg2Te structure.

For the formation energy (no corrections), the calculation gives -1.3 eV per formula unit. As for the density of states at the Fermi level: 1.24 states/eV/f.u. For the total magnetization, the calculation gives 0.000 μB/cell. Its raw total energy is -2.038 eV per atom.

Cell lengths 5.2710, 5.2710, 5.4660 Å; angles 90.00, 90.00, 90.00 degrees
Last column: nearest neighbours and their distance in Å.
Space group P4/mmm (No. 123)
Asymmetric unit:
K (0.0000, 0.0000, 0.0000) (multiplicity 1)  4 Te 3.73, 8 Hg 3.80
Cu (0.5000, 0.5000, 0.5000) (multiplicity 1)  4 Hg 2.64, 2 Te 2.73
Hg (0.0000, 0.5000, 0.5000) (multiplicity 2)  2 Cu 2.64
Te (0.5000, 0.5000, 0.0000) (multiplicity 1)  2 Cu 2.73


A plane-wave DFT calculation with GGA-PBE was carried out for a geometry-optimized BaTlPO4 structure.

For the formation energy (no corrections), the calculation gives -16.3 eV per formula unit. As for the density of states at the Fermi level: 0.00 states/eV/f.u. For the total magnetization, the calculation gives 0.000 μB/cell. Its raw total energy is -6.547 eV per atom.

Cell lengths 6.6536, 5.5055, 8.2426 Å; angles 90.00, 100.38, 90.00 degrees
Last column: nearest neighbours and their distance in Å.
Space group P2_1/m (No. 11)
Asymmetric unit:
Ba (0.2447, 0.2500, 0.4090) (multiplicity 2)  8 O 2.72-2.94
Tl (0.2938, 0.2500, 0.9066) (multiplicity 2)  2 O 2.57
P (0.2675, 0.7500, 0.6659) (multiplicity 2)  4 O 1.55-1.57
O (0.1256, 0.7500, 0.7958) (multiplicity 2)  1 P 1.55
O (0.1394, 0.7500, 0.4874) (multiplicity 2)  1 P 1.56
O (0.4096, 0.5202, 0.6865) (multiplicity 4)  1 P 1.57